No. 1
First-principles (PBE-GGA) data for a geometry-optimized Ta2ReIr structure, as listed in the Alexandria database.

ΔE_f   -0.30 eV per formula unit
DOS at the Fermi energy   4.87 states/eV/cell
Symmetry   F-43m
Electronic total energy   -0.8326 Ry/atom

a b c (Å): 4.5206 4.5206 4.5206
angles (deg): 60.00 60.00 60.00
Sites, in units of the cell vectors:
Ir  0.5000  0.5000  0.5000
Re  0.2500  0.2500  0.2500
Ta  0.0000  0.0000  0.0000
Ta  0.7500  0.7500  0.7500



No. 2
First-principles (PBE-GGA) data for a geometry-optimized LaNpGe2 structure, as listed in the Alexandria database.

ΔE_f   -1.53 eV per formula unit
Energy relative to the lowest polymorph listed for this composition   0 meV/atom
DOS at the Fermi energy   5.92 states/eV/cell
Symmetry   P4/mmm
Electronic total energy   -0.5261 Ry/atom

a b c (Å): 3.3581 3.3581 8.3126
angles (deg): 90.00 90.00 90.00
Sites, in units of the cell vectors:
Np  0.5000  0.5000  0.0000
Ge  0.0000  0.0000  0.7626
Ge  0.0000  0.0000  0.2374
La  0.5000  0.5000  0.5000



No. 3
First-principles (PBE-GGA) data for a geometry-optimized NdB2PdPt5 structure, as listed in the Alexandria database.

ΔE_f   -3.37 eV per formula unit
DOS at the Fermi energy   6.44 states/eV/cell
Symmetry   P4/mmm
Electronic total energy   -0.4646 Ry/atom

a b c (Å): 4.0059 4.0059 9.5390
angles (deg): 90.00 90.00 90.00
Sites, in units of the cell vectors:
Nd  0.0000  0.0000  0.5000
B  0.5000  0.5000  0.2757
B  0.5000  0.5000  0.7243
Pd  0.0000  0.0000  0.0000
Pt  0.0000  0.5000  0.1991
Pt  0.5000  0.0000  0.1991
Pt  0.0000  0.5000  0.8009
Pt  0.5000  0.0000  0.8009
Pt  0.5000  0.5000  0.5000